5
Lattice="-4.048 3.081 2.458 -2.190 -0.893 -2.486 -1.593 -4.501 3.020" Properties=species:S:1:pos:R:3 comment="In2PHC | Alexandria | PBE-GGA | optimized geometry" total_energy_ev_per_atom=-3.646 total_magnetization_mub_per_atom=0.000 vol_a3_per_cell=109.5 pbc="T T T"
C -1.095 -0.447 -1.243
H -3.915 -1.157 1.496
In -0.796 -2.251 1.510
In -2.024 1.541 1.229
P 0.000 0.000 0.000

---

72
Lattice="-8.463 2.569 3.740 -8.202 -2.957 -5.049 -2.577 -8.762 4.560" Properties=species:S:1:pos:R:3 comment="InSi2PH24C8 | Alexandria | PBE-GGA | optimized geometry" total_energy_ev_per_atom=-5.022 total_magnetization_mub_per_atom=0.000 vol_a3_per_cell=858.4 pbc="T T T"
C -8.497 -5.704 -1.912
C -10.746 -3.446 5.163
C -11.405 -0.920 1.817
C -8.338 -4.969 6.326
C -11.427 -7.348 0.099
C -13.084 -2.172 -0.435
C -7.816 -1.802 3.151
C -6.133 -4.252 0.869
C -8.204 -2.760 -2.650
C -5.995 0.009 -0.206
C -6.159 -6.978 3.686
C -13.248 -9.159 3.456
C -11.039 -6.391 5.901
C -7.838 -8.230 1.433
C -13.110 -4.898 2.382
C -10.905 -4.182 -3.076
In -11.275 -5.563 1.369
In -7.968 -3.587 1.881
H -13.092 -2.652 -1.423
H -16.031 -8.892 1.394
H -7.517 -7.515 0.664
H -13.963 -5.048 1.706
H -7.116 -9.062 1.437
H -7.288 -1.017 2.595
H -8.817 -8.633 1.142
H -7.609 -5.663 -1.267
H -5.524 -7.876 3.739
H -12.215 -8.872 3.700
H -5.969 -3.644 -0.032
H -11.634 -3.487 4.518
H -9.149 -6.513 -1.557
H -7.230 -2.046 4.048
H -7.868 -3.084 -3.648
H -12.013 -7.104 -0.798
H -2.619 -5.760 2.440
H -13.873 -8.254 3.506
H -5.370 -0.896 -0.256
H -10.578 -7.382 6.005
H -13.268 -9.514 2.417
H -8.665 -1.769 -2.754
H -3.212 -0.258 1.857
H -16.624 -3.391 0.810
H -2.395 -1.564 0.972
H -12.127 -0.088 1.813
H -10.094 -2.638 4.808
H -3.431 -1.949 2.364
H -6.170 -5.308 0.577
H -10.447 -7.729 -0.210
H -7.315 -2.659 -2.013
H -11.375 -6.067 6.899
H -13.274 -5.506 3.282
H -15.812 -7.201 0.887
H -5.700 -6.282 2.971
H -16.848 -7.586 2.278
H -11.928 -6.492 5.263
H -13.543 -2.869 0.280
H -11.956 -8.134 0.655
H -13.719 -1.274 -0.488
H -6.151 -6.498 4.674
H -5.280 -4.102 1.545
H -10.426 -0.517 2.108
H -13.073 -3.842 2.673
H -5.975 0.364 0.834
H -7.028 -0.278 -0.449
H -8.796 -1.422 3.460
H -11.726 -1.636 2.587
P -9.223 -5.614 3.083
P -10.020 -3.536 0.167
Si -7.902 -7.462 3.153
Si -11.341 -1.689 0.098
Si -9.393 -4.051 -1.955
Si -9.850 -5.099 5.206